HfSnH2 | GGA-PBE | relaxed

Properties
The total energy comes out at -22.024 eV/f.u. For the excess energy over the best structure of this formula in the dataset, the calculation gives 0.0 kJ per mole of atoms. The calculation puts the total magnetization at 0.000 Bohr magnetons per cell.

a b c (Å): 5.839 3.353 5.779
angles (deg): 90.00 109.43 90.00
Space group Cm (No. 8)
Asymmetric unit:
1 Hf 0.000 0.000 0.000 [2 per cell]
2 Sn 0.187 0.000 0.554 [2 per cell]
3 H 0.188 0.500 0.055 [2 per cell]
4 H 0.377 0.000 0.123 [2 per cell]

***

PdRhPb2Se | GGA-PBE | relaxed

Properties
The total energy comes out at -21.961 eV/f.u. The calculation puts the total magnetization at 0.000 Bohr magnetons per cell.

a b c (Å): 5.395 5.395 4.605
angles (deg): 90.00 90.00 90.00
Space group P4/mmm (No. 123)
Asymmetric unit:
1 Pd 0.000 0.000 0.000 [1 per cell]
2 Rh 0.500 0.500 0.500 [1 per cell]
3 Pb 0.000 0.500 0.500 [2 per cell]
4 Se 0.500 0.500 0.000 [1 per cell]

***

NaCa2Tl2 | GGA-PBE | relaxed

Properties
The total energy comes out at -11.573 eV/f.u. For the excess energy over the best structure of this formula in the dataset, the calculation gives 0.0 kJ per mole of atoms. The calculation puts the total magnetization at 0.000 Bohr magnetons per cell. Its formation energy is -304 meV/atom.

a b c (Å): 8.849 8.849 4.043
angles (deg): 90.00 90.00 90.00
Space group P4/mbm (No. 127)
Asymmetric unit:
1 Na 0.000 0.000 0.000 [2 per cell]
2 Ca 0.164 0.336 0.500 [4 per cell]
3 Tl 0.133 0.633 0.000 [4 per cell]

***

Ac3Mg7Sn4 | GGA-PBE | relaxed

Properties
The total energy comes out at -45.496 eV/f.u. The calculation puts the total magnetization at 0.000 Bohr magnetons per cell. Its formation energy is -428 meV/atom.

a b c (Å): 17.876 4.808 11.046
angles (deg): 90.00 124.82 90.00
Space group C2/m (No. 12)
Asymmetric unit:
1 Ac 0.000 0.000 0.000 [2 per cell]
2 Ac 0.192 0.500 0.693 [4 per cell]
3 Mg 0.000 0.000 0.500 [2 per cell]
4 Mg 0.006 0.500 0.309 [4 per cell]
5 Mg 0.151 0.000 0.427 [4 per cell]
6 Mg 0.177 0.500 0.022 [4 per cell]
7 Sn 0.122 0.000 0.842 [4 per cell]
8 Sn 0.154 0.500 0.270 [4 per cell]